VASP calculation (PBE) on a relaxed structure of ScIr3.

Cell: 2.8142 2.8142 7.8950 Å, 90.00 90.00 90.00°
Space group P4/mmm (No. 123)
Inequivalent atoms, fractional coordinates:
Sc 0.0000 0.0000 0.0000 (multiplicity 1)
Ir 0.0000 0.0000 0.5000 (multiplicity 1)
Ir 0.5000 0.5000 0.2634 (multiplicity 2)

Computed properties:
E (eV/atom): -8.5581
DFT formation energy (eV per atom): -0.330

---

VASP calculation (PBE) on a relaxed structure of CePaGePd.

Cell: 7.1485 7.1485 7.1485 Å, 90.00 90.00 90.00°
Space group F-43m (No. 216)
Inequivalent atoms, fractional coordinates:
Ce 0.0000 0.0000 0.0000 (multiplicity 4)
Pa 0.0000 0.0000 0.5000 (multiplicity 4)
Ge 0.2500 0.2500 0.2500 (multiplicity 4)
Pd 0.2500 0.2500 0.7500 (multiplicity 4)

Computed properties:
E (eV/atom): -6.6804
DFT formation energy (eV per atom): -0.370

---

VASP calculation (PBE) on a relaxed structure of Mg2As2Pd3.

Cell: 4.2909 4.5874 7.3620 Å, 103.99 90.06 117.82°
Space group P-1 (No. 2)
Inequivalent atoms, fractional coordinates:
Mg 0.1354 0.2717 0.3888 (multiplicity 2)
As 0.4287 0.8581 0.1852 (multiplicity 2)
Pd 0.0000 0.0000 0.0000 (multiplicity 1)
Pd 0.2449 0.4880 0.7759 (multiplicity 2)

Computed properties:
E (eV/atom): -4.4341
Excess energy over the best structure of this formula in the dataset (meV/atom): 114
DFT formation energy (eV per atom): -0.425

---

VASP calculation (PBE) on a relaxed structure of CoTcSb2.

Cell: 6.6700 6.6700 6.6700 Å, 90.00 90.00 90.00°
Space group F-43m (No. 216)
Inequivalent atoms, fractional coordinates:
Co 0.0000 0.0000 0.0000 (multiplicity 4)
Tc 0.2500 0.2500 0.7500 (multiplicity 4)
Sb 0.0000 0.0000 0.5000 (multiplicity 4)
Sb 0.2500 0.2500 0.2500 (multiplicity 4)

Computed properties:
E (eV/atom): -5.6734
Excess energy over the best structure of this formula in the dataset (meV/atom): 650

---

VASP calculation (PBE) on a relaxed structure of TbCePdPt.

Cell: 4.5835 3.7672 10.6786 Å, 90.00 90.00 90.00°
Space group Amm2 (No. 38)
Inequivalent atoms, fractional coordinates:
Tb 0.0000 0.0000 0.0000 (multiplicity 2)
Ce 0.5000 0.0000 0.2732 (multiplicity 2)
Pd 0.0000 0.0000 0.7267 (multiplicity 2)
Pt 0.5000 0.0000 0.5468 (multiplicity 2)

Computed properties:
E (eV/atom): -6.4428
Excess energy over the best structure of this formula in the dataset (meV/atom): 0
DFT formation energy (eV per atom): -0.993

---

VASP calculation (PBE) on a relaxed structure of CaAg2As.

Cell: 4.2019 4.0334 5.6758 Å, 90.00 111.72 90.00°
Space group Pm (No. 6)
Inequivalent atoms, fractional coordinates:
Ca 0.0000 0.0000 0.0000 (multiplicity 1)
Ag 0.2871 0.5000 0.5720 (multiplicity 1)
Ag 0.7182 0.0000 0.4361 (multiplicity 1)
As 0.5504 0.5000 0.1015 (multiplicity 1)

Computed properties:
E (eV/atom): -3.4144
DFT formation energy (eV per atom): -0.326

---

VASP calculation (PBE) on a relaxed structure of Sr2CuBi2.

Cell: 7.9730 7.9730 5.0444 Å, 90.00 90.00 90.00°
Space group P4/mbm (No. 127)
Inequivalent atoms, fractional coordinates:
Sr 0.1672 0.3328 0.0000 (multiplicity 4)
Cu 0.0000 0.0000 0.5000 (multiplicity 2)
Bi 0.1454 0.6454 0.5000 (multiplicity 4)

Computed properties:
E (eV/atom): -3.4474
DFT formation energy (eV per atom): -0.403

---

VASP calculation (PBE) on a relaxed structure of Pu3Zn2Ga7.

Cell: 5.5151 5.5151 26.0459 Å, 90.00 90.00 120.00°
Space group R-3m (No. 166, hexagonal axes)
Inequivalent atoms, fractional coordinates:
Pu 0.0000 0.0000 0.0000 (multiplicity 3)
Pu 0.0000 0.0000 0.1421 (multiplicity 6)
Zn 0.0000 0.0000 0.3363 (multiplicity 6)
Ga 0.0000 0.0000 0.5000 (multiplicity 3)
Ga 0.0093 0.5047 0.9177 (multiplicity 18)

Computed properties:
E (eV/atom): -5.8484
DFT formation energy (eV per atom): -0.287